This record from Alexandria describes a relaxed SmCrO2 crystal. The functional is PBE+U.

Lattice parameters (Å, degrees): 3.5738 3.5738 16.0302 90.00 90.00 120.00
Space group R-3m (No. 166, hexagonal axes)
One atom of each set of equivalent atoms:
Sm: 0.0000 0.0000 0.0000 x3
Cr: 0.0000 0.0000 0.5000 x3
O: 0.0000 0.0000 0.2596 x6

## Properties
Calculated volume ... 177.30 Å³/cell
Energy ... -7.606 eV/atom